# Li5MgZn3 | Alexandria via LeMat-Bulk | PBE | relaxed
# - Density: 2.77 g/cm³
# - Size of the total moment: 0.00 μB/f.u.
# - Final energy: -31.736 eV for the cell shown
data_Li5MgZn3
_chemical_formula_sum 'Li10 Mg2 Zn6'
_symmetry_space_group_name_H-M 'P 1'
_symmetry_Int_Tables_number 1
_symmetry_space_group_name_Hall 'P 1'
_cell_length_a 7.894
_cell_length_b 7.894
_cell_length_c 5.666
_cell_angle_alpha 90.00
_cell_angle_beta 90.00
_cell_angle_gamma 120.00
loop_
_atom_site_label
_atom_site_type_symbol
_atom_site_fract_x
_atom_site_fract_y
_atom_site_fract_z
Li1 Li 0.000 0.344 0.250
Li2 Li 0.000 0.656 0.750
Li3 Li 0.333 0.667 0.000
Li4 Li 0.333 0.667 0.500
Li5 Li 0.344 0.000 0.250
Li6 Li 0.344 0.344 0.750
Li7 Li 0.656 0.000 0.750
Li8 Li 0.656 0.656 0.250
Li9 Li 0.667 0.333 0.000
Li10 Li 0.667 0.333 0.500
Mg1 Mg 0.000 0.000 0.000
Mg2 Mg 0.000 0.000 0.500
Zn1 Zn 0.000 0.329 0.750
Zn2 Zn 0.000 0.671 0.250
Zn3 Zn 0.329 0.000 0.750
Zn4 Zn 0.329 0.329 0.250
Zn5 Zn 0.671 0.000 0.250
Zn6 Zn 0.671 0.671 0.750